Entry 1:
DFT (PBE) results for a relaxed structure of PmBe4.

abc: 5.0116 5.0116 5.0116
angles: 90.00 90.00 90.00
Fractional coordinates of all 5 atoms:
1 Pm 0.5000 0.5000 0.5000
2 Be 0.0000 0.5000 0.5000
3 Be 0.0000 0.0000 0.0000
4 Be 0.5000 0.5000 0.0000
5 Be 0.5000 0.0000 0.5000

**Formation enthalpy at 0 K**: 225.8 kJ per mole of atoms
**Crystal system**: cubic
**Raw total energy**: -1.59 eV per atom

=====

Entry 2:
DFT (PBE) results for a relaxed structure of ScInP2Pd.

abc: 4.8246 5.5429 4.8246
angles: 90.00 90.00 90.00
Fractional coordinates of all 5 atoms:
1 Sc 0.0000 0.0000 0.0000
2 Pd 0.5000 0.5000 0.5000
3 P 0.0000 0.0000 0.5000
4 P 0.5000 0.0000 0.0000
5 In 0.0000 0.5000 0.0000

**Formation enthalpy at 0 K**: 54.0 kJ per mole of atoms
**Crystal system**: tetragonal
**Raw total energy**: -4.46 eV per atom

=====

Entry 3:
DFT (PBE) results for a relaxed structure of Cu2Sb3Pd8.

abc: 5.3496 5.3496 9.9587
angles: 74.42 74.42 60.00
Fractional coordinates of all 13 atoms:
1 Pd 0.7172 0.7172 0.8484
2 Pd 0.2762 0.2762 0.6705
3 Pd 0.7238 0.7238 0.3295
4 Pd 0.7772 0.2762 0.6705
5 Pd 0.2228 0.7238 0.3295
6 Pd 0.2828 0.2828 0.1516
7 Pd 0.7238 0.2228 0.3295
8 Pd 0.2762 0.7772 0.6705
9 Sb 0.1922 0.1922 0.4233
10 Sb 0.8078 0.8078 0.5767
11 Sb 0.0000 0.0000 0.0000
12 Cu 0.6305 0.6305 0.1084
13 Cu 0.3695 0.3695 0.8916

**Crystal system**: trigonal
**Raw total energy**: -4.80 eV per atom

=====

Entry 4:
DFT (PBE) results for a relaxed structure of HfHgPd5.

abc: 4.0409 4.0409 7.6799
angles: 90.00 90.00 90.00
Fractional coordinates of all 7 atoms:
1 Pd 0.0000 0.5000 0.2282
2 Pd 0.5000 0.0000 0.7718
3 Pd 0.0000 0.5000 0.7718
4 Pd 0.5000 0.0000 0.2282
5 Pd 0.5000 0.5000 0.5000
6 Hg 0.0000 0.0000 0.5000
7 Hf 0.5000 0.5000 0.0000

**Formation enthalpy at 0 K**: -31.3 kJ per mole of atoms
**Crystal system**: tetragonal
**Excess energy over the best structure of this formula in the dataset**: 0.0 meV/atom
**Raw total energy**: -5.50 eV per atom